Compound: Ba2SnBiO
Source: Alexandria
Functional: PBE
Structure: relaxed

abc: 5.575 5.575 4.938
angles: 90.00 90.00 90.00
Fractional positions:
Ba1 0.000 0.500 0.000
Ba2 0.500 0.000 0.000
Sn1 0.000 0.000 0.500
Bi1 0.500 0.500 0.500
O1 0.000 0.000 0.000

energy above the most stable polymorph in this dataset	0.000	eV per formula unit
volume	30.7	A^3/atom
space-group type	No. 123
formation energy without anion corrections	-1210	meV per atom

Compound: Ba3Sn2BiO9
Source: Alexandria
Functional: PBE
Structure: relaxed

abc: 6.040 6.040 7.406
angles: 90.00 90.00 120.00
Fractional positions:
O1 0.172 0.828 0.327
O2 0.344 0.172 0.673
O3 0.172 0.344 0.327
O4 0.500 0.000 0.000
O5 0.500 0.500 0.000
O6 0.656 0.828 0.327
O7 0.828 0.656 0.673
O8 0.000 0.500 0.000
O9 0.828 0.172 0.673
Bi1 0.000 0.000 0.500
Ba1 0.333 0.667 0.667
Ba2 0.667 0.333 0.333
Ba3 0.000 0.000 0.000
Sn1 0.333 0.667 0.159
Sn2 0.667 0.333 0.841

volume	15.6	A^3/atom
space-group type	No. 164
formation energy without anion corrections	-2034	meV per atom

Compound: Ba4Sr2Bi3O2
Source: Alexandria
Functional: PBE
Structure: relaxed

abc: 5.347 5.347 14.488
angles: 100.63 100.63 90.00
Fractional positions:
O1 0.610 0.610 0.221
O2 0.390 0.390 0.779
Ba1 0.589 0.089 0.177
Ba2 0.089 0.589 0.177
Ba3 0.411 0.911 0.823
Ba4 0.911 0.411 0.823
Bi1 0.000 0.000 0.000
Bi2 0.820 0.820 0.641
Bi3 0.180 0.180 0.359
Sr1 0.304 0.304 0.608
Sr2 0.696 0.696 0.392

volume	36.3	A^3/atom
space-group type	No. 139
formation energy without anion corrections	-1468	meV per atom

Compound: Ba3SrBi2O6
Source: Alexandria
Functional: PBE
Structure: relaxed

abc: 6.356 6.356 7.241
angles: 90.00 90.00 120.00
Fractional positions:
Ba1 0.667 0.333 0.387
Ba2 0.000 0.000 0.000
Ba3 0.333 0.667 0.613
O1 0.822 0.178 0.696
O2 0.644 0.822 0.304
O3 0.178 0.822 0.304
O4 0.822 0.644 0.696
O5 0.356 0.178 0.696
O6 0.178 0.356 0.304
Bi1 0.667 0.333 0.878
Bi2 0.333 0.667 0.122
Sr1 0.000 0.000 0.500

volume	21.1	A^3/atom
space-group type	No. 164
formation energy without anion corrections	-1943	meV per atom

Compound: BaSr2BiO
Source: Alexandria
Functional: PBE
Structure: relaxed

abc: 5.036 7.023 5.036
angles: 90.00 90.00 90.00
Fractional positions:
Ba1 0.500 0.500 0.500
O1 0.000 0.000 0.000
Sr1 0.500 0.000 0.000
Sr2 0.000 0.000 0.500
Bi1 0.000 0.500 0.000

energy above the most stable polymorph in this dataset	1.885	eV per formula unit
volume	35.6	A^3/atom
space-group type	No. 123
formation energy without anion corrections	-1079	meV per atom

Compound: Ba2SrBiO5
Source: Alexandria
Functional: PBE
Structure: relaxed

abc: 3.900 7.791 11.638
angles: 90.00 90.00 104.50
Fractional positions:
O1 0.050 0.101 0.043
O2 0.616 0.233 0.503
O3 0.670 0.341 0.881
O4 0.950 0.899 0.543
O5 0.722 0.444 0.160
O6 0.330 0.659 0.381
O7 0.511 0.022 0.285
O8 0.384 0.767 0.003
O9 0.489 0.978 0.785
O10 0.278 0.556 0.660
Bi1 0.472 0.944 0.460
Bi2 0.528 0.056 0.960
Ba1 0.853 0.706 0.787
Ba2 0.109 0.218 0.693
Ba3 0.891 0.782 0.193
Ba4 0.147 0.294 0.287
Sr1 0.221 0.442 0.011
Sr2 0.779 0.558 0.511

volume	19.0	A^3/atom
space-group type	No. 36
formation energy without anion corrections	-2106	meV per atom

Compound: Ba3SrBi2O9
Source: Alexandria
Functional: PBE
Structure: relaxed

abc: 6.230 6.230 7.768
angles: 90.00 90.00 120.00
Fractional positions:
O1 0.500 0.500 0.000
O2 0.000 0.500 0.000
O3 0.828 0.656 0.689
O4 0.500 0.000 0.000
O5 0.656 0.828 0.311
O6 0.172 0.344 0.311
O7 0.172 0.828 0.311
O8 0.344 0.172 0.689
O9 0.828 0.172 0.689
Ba1 0.667 0.333 0.321
Ba2 0.333 0.667 0.679
Ba3 0.000 0.000 0.000
Sr1 0.000 0.000 0.500
Bi1 0.667 0.333 0.833
Bi2 0.333 0.667 0.167

volume	17.4	A^3/atom
space-group type	No. 164
formation energy without anion corrections	-1943	meV per atom

Compound: Ba2Sr5Bi3O2
Source: Alexandria
Functional: PBE
Structure: relaxed

abc: 5.144 5.144 15.156
angles: 99.77 99.77 90.00
Site moments in Bohr magnetons follow the coordinates.
Fractional positions:
Sr1 0.500 0.500 0.000  0.00
Sr2 0.093 0.593 0.186  0.01
Sr3 0.593 0.093 0.186  0.01
Sr4 0.407 0.907 0.814  0.01
Sr5 0.907 0.407 0.814  0.01
O1 0.585 0.585 0.170  0.00
O2 0.415 0.415 0.830  0.00
Ba1 0.703 0.703 0.405  0.09
Ba2 0.297 0.297 0.595  0.09
Bi1 0.000 0.000 0.000  0.00
Bi2 0.827 0.827 0.654  -0.02
Bi3 0.173 0.173 0.346  -0.02

volume	32.4	A^3/atom
space-group type	No. 139
formation energy without anion corrections	-1514	meV per atom

Compound: Ba2SrBiO
Source: Alexandria
Functional: PBE
Structure: relaxed

abc: 5.609 5.609 5.113
angles: 90.00 90.00 90.00
Fractional positions:
Sr1 0.000 0.000 0.500
Ba1 0.000 0.500 0.000
Ba2 0.500 0.000 0.000
Bi1 0.500 0.500 0.500
O1 0.000 0.000 0.000

volume	32.2	A^3/atom
space-group type	No. 123
formation energy without anion corrections	-1452	meV per atom

Compound: BaSr2BiO4
Source: Alexandria
Functional: PBE
Structure: relaxed

abc: 3.668 9.474 9.937
angles: 90.00 90.00 101.16
Fractional positions:
O1 0.342 0.684 0.250
O2 0.845 0.690 0.901
O3 0.000 0.000 0.000
O4 0.658 0.316 0.750
O5 0.155 0.310 0.401
O6 0.000 0.000 0.500
O7 0.845 0.690 0.599
O8 0.155 0.310 0.099
Sr1 0.405 0.811 0.456
Sr2 0.595 0.189 0.956
Sr3 0.405 0.811 0.044
Sr4 0.595 0.189 0.544
Ba1 0.258 0.517 0.750
Ba2 0.742 0.483 0.250
Bi1 0.067 0.134 0.250
Bi2 0.933 0.866 0.750

volume	21.2	A^3/atom
space-group type	No. 63
formation energy without anion corrections	-2176	meV per atom

Compound: BaSr2BiO
Source: Alexandria
Functional: PBE
Structure: relaxed

abc: 5.199 5.199 5.660
angles: 90.00 90.00 90.00
Fractional positions:
Sr1 0.000 0.500 0.000
Sr2 0.500 0.000 0.000
Ba1 0.000 0.000 0.500
O1 0.000 0.000 0.000
Bi1 0.500 0.500 0.500

energy above the most stable polymorph in this dataset	0.000	eV per formula unit
volume	30.6	A^3/atom
space-group type	No. 123
formation energy without anion corrections	-1456	meV per atom

Compound: Ba2SrBiO2
Source: Alexandria
Functional: PBE
Structure: relaxed

abc: 4.728 4.728 7.808
angles: 90.00 90.00 90.00
Fractional positions:
Ba1 0.500 0.500 0.219
Ba2 0.500 0.500 0.781
Bi1 0.000 0.000 0.500
Sr1 0.000 0.000 0.000
O1 0.500 0.000 0.000
O2 0.000 0.500 0.000

volume	29.1	A^3/atom
space-group type	No. 123
formation energy without anion corrections	-1869	meV per atom

What is the volume in the first record? 30.7 A^3/atom

Among the records above, which one has the highest volume? Ba4Sr2Bi3O2

Which value of formation energy without anion corrections does entry 9 give? -1452 meV per atom

Which value of formation energy without anion corrections does entry 8 give? -1514 meV per atom